No. 1
## Cd2OsSe2 (PBE)

Data for Cd2OsSe2 after structural relaxation.

abc: 3.5699 3.5699 17.8911
angles: 90.00 90.00 90.00
Fractional coordinates of all 10 atoms:
Cd 0.0000 0.0000 0.0810
Cd 0.0000 0.0000 0.9190
Cd 0.5000 0.5000 0.4190
Cd 0.5000 0.5000 0.5810
Os 0.0000 0.0000 0.5000
Os 0.5000 0.5000 0.0000
Se 0.0000 0.5000 0.2500
Se 0.0000 0.5000 0.7500
Se 0.5000 0.0000 0.2500
Se 0.5000 0.0000 0.7500

Properties
Final energy in eV per atom: -3.268

No. 2
## CdOs2Se (PBE)

Data for CdOs2Se after structural relaxation.

abc: 2.9446 2.9446 25.9317
angles: 90.00 90.00 120.00
Fractional coordinates of all 12 atoms:
Cd 0.0000 0.0000 0.0000
Cd 0.3333 0.6667 0.6667
Cd 0.6667 0.3333 0.3333
Os 0.0000 0.0000 0.2410
Os 0.0000 0.0000 0.7590
Os 0.3333 0.6667 0.4256
Os 0.3333 0.6667 0.9077
Os 0.6667 0.3333 0.0923
Os 0.6667 0.3333 0.5744
Se 0.0000 0.0000 0.5000
Se 0.3333 0.6667 0.1667
Se 0.6667 0.3333 0.8333

Properties
E above lowest polymorph in meV per atom: 366

No. 3
## CdOsSe2 (PBE)

Data for CdOsSe2 after structural relaxation.

abc: 2.9204 5.3687 10.5400
angles: 90.00 90.00 90.00
Fractional coordinates of all 8 atoms:
Cd 0.0000 0.0000 0.0000
Cd 0.5000 0.5000 0.0000
Os 0.0000 0.5000 0.7704
Os 0.5000 0.0000 0.7704
Se 0.0000 0.0000 0.5865
Se 0.0000 0.5000 0.2448
Se 0.5000 0.0000 0.2448
Se 0.5000 0.5000 0.5865

Properties
Final energy in eV per atom: -4.300

No. 4
## CdOs2Se (PBE)

Data for CdOs2Se after structural relaxation.

abc: 6.3594 6.3594 6.3594
angles: 90.00 90.00 90.00
Fractional coordinates of all 16 atoms:
Cd 0.0000 0.0000 0.0000
Cd 0.0000 0.5000 0.5000
Cd 0.5000 0.0000 0.5000
Cd 0.5000 0.5000 0.0000
Os 0.2500 0.2500 0.2500
Os 0.2500 0.2500 0.7500
Os 0.2500 0.7500 0.2500
Os 0.2500 0.7500 0.7500
Os 0.7500 0.2500 0.2500
Os 0.7500 0.2500 0.7500
Os 0.7500 0.7500 0.2500
Os 0.7500 0.7500 0.7500
Se 0.0000 0.0000 0.5000
Se 0.0000 0.5000 0.0000
Se 0.5000 0.0000 0.0000
Se 0.5000 0.5000 0.5000

Properties
E above lowest polymorph in meV per atom: 689

No. 5
## Cd3OsSe (PBE)

Data for Cd3OsSe after structural relaxation.

abc: 5.2250 5.2250 5.2250
angles: 90.00 90.00 90.00
Fractional coordinates of all 5 atoms:
Cd 0.0000 0.0000 0.5000
Cd 0.0000 0.5000 0.0000
Cd 0.5000 0.0000 0.0000
Os 0.0000 0.0000 0.0000
Se 0.5000 0.5000 0.5000

Properties
E above lowest polymorph in meV per atom: 0

No. 6
## CdOs2Se (PBE)

Data for CdOs2Se after structural relaxation.

abc: 2.8389 4.8354 4.9378
angles: 90.00 90.00 90.00
Fractional coordinates of all 4 atoms:
Cd 0.0000 0.0000 0.0000
Os 0.0000 0.5000 0.5000
Os 0.5000 0.0000 0.5000
Se 0.5000 0.5000 0.0000

Properties
E above lowest polymorph in meV per atom: 637

No. 7
## CdOs2Se (PBE)

Data for CdOs2Se after structural relaxation.

abc: 2.8414 4.8725 10.6044
angles: 90.00 90.00 90.00
Fractional coordinates of all 8 atoms:
Cd 0.0000 0.0000 0.0000
Cd 0.5000 0.5000 0.0000
Os 0.0000 0.0000 0.5493
Os 0.0000 0.5000 0.7535
Os 0.5000 0.0000 0.7535
Os 0.5000 0.5000 0.5493
Se 0.0000 0.5000 0.3408
Se 0.5000 0.0000 0.3408

Properties
E above lowest polymorph in meV per atom: 329

No. 8
## CdOs2Se (PBE)

Data for CdOs2Se after structural relaxation.

abc: 4.0567 4.0567 4.0597
angles: 90.00 90.00 90.00
Fractional coordinates of all 4 atoms:
Cd 0.0000 0.0000 0.0000
Os 0.0000 0.5000 0.5000
Os 0.5000 0.0000 0.5000
Se 0.5000 0.5000 0.0000

Properties
E above lowest polymorph in meV per atom: 795

No. 9
## CdOsSe2 (PBE)

Data for CdOsSe2 after structural relaxation.

abc: 10.4894 3.1382 6.2839
angles: 90.00 117.57 90.00
Fractional coordinates of all 8 atoms:
Cd 0.0000 0.0000 0.0000
Cd 0.5000 0.5000 0.0000
Os 0.1966 0.5000 0.9114
Os 0.6966 0.0000 0.9114
Se 0.1985 0.0000 0.6164
Se 0.3555 0.0000 0.2324
Se 0.6985 0.5000 0.6164
Se 0.8555 0.5000 0.2324

Properties
Final energy in eV per atom: -4.603

No. 10
## CdOs2Se (PBE)

Data for CdOs2Se after structural relaxation.

abc: 2.8617 4.9079 9.4108
angles: 90.00 90.00 90.00
Fractional coordinates of all 8 atoms:
Cd 0.0000 0.0000 0.0000
Cd 0.5000 0.5000 0.0000
Os 0.0000 0.5000 0.2618
Os 0.0000 0.5000 0.7382
Os 0.5000 0.0000 0.2618
Os 0.5000 0.0000 0.7382
Se 0.0000 0.0000 0.5000
Se 0.5000 0.5000 0.5000

Properties
E above lowest polymorph in meV per atom: 610

No. 11
## CdOsSe2 (PBE)

Data for CdOsSe2 after structural relaxation.

abc: 2.9002 2.9002 34.0212
angles: 90.00 90.00 120.00
Fractional coordinates of all 12 atoms:
Cd 0.0000 0.0000 0.0000
Cd 0.3333 0.6667 0.6667
Cd 0.6667 0.3333 0.3333
Os 0.0000 0.0000 0.5000
Os 0.3333 0.6667 0.1667
Os 0.6667 0.3333 0.8333
Se 0.0000 0.0000 0.4297
Se 0.0000 0.0000 0.5703
Se 0.3333 0.6667 0.0964
Se 0.3333 0.6667 0.2369
Se 0.6667 0.3333 0.7631
Se 0.6667 0.3333 0.9036

Properties
Final energy in eV per atom: -4.398

No. 12
## CdOs2Se (PBE)

Data for CdOs2Se after structural relaxation.

abc: 2.8623 2.8972 8.6713
angles: 90.00 90.12 90.00
Fractional coordinates of all 4 atoms:
Cd 0.0000 0.0000 0.0000
Os 0.0030 0.0000 0.4294
Os 0.5019 0.5000 0.2434
Se 0.0065 0.5000 0.6832

Properties
E above lowest polymorph in meV per atom: 0

No. 13
## CdOs2Se (PBE)

Data for CdOs2Se after structural relaxation.

abc: 7.2432 7.2432 5.4793
angles: 90.00 90.00 90.00
Fractional coordinates of all 16 atoms:
Cd 0.0000 0.0000 0.0000
Cd 0.0000 0.5000 0.2500
Cd 0.5000 0.0000 0.7500
Cd 0.5000 0.5000 0.5000
Os 0.1853 0.2500 0.6250
Os 0.2500 0.6853 0.8750
Os 0.2500 0.8147 0.3750
Os 0.3147 0.2500 0.1250
Os 0.6853 0.7500 0.1250
Os 0.7500 0.1853 0.3750
Os 0.7500 0.3147 0.8750
Os 0.8147 0.7500 0.6250
Se 0.0000 0.0000 0.5000
Se 0.0000 0.5000 0.7500
Se 0.5000 0.0000 0.2500
Se 0.5000 0.5000 0.0000

Properties
E above lowest polymorph in meV per atom: 699

No. 14
## Cd3OsSe (PBE)

Data for Cd3OsSe after structural relaxation.

abc: 5.1414 5.1414 5.1414
angles: 90.00 90.00 90.00
Fractional coordinates of all 5 atoms:
Cd 0.0000 0.0000 0.5000
Cd 0.0000 0.5000 0.0000
Cd 0.5000 0.0000 0.0000
Os 0.5000 0.5000 0.5000
Se 0.0000 0.0000 0.0000

Properties
E above lowest polymorph in meV per atom: 482

No. 15
## CdOs2Se (PBE)

Data for CdOs2Se after structural relaxation.

abc: 4.2263 4.2263 7.4600
angles: 90.00 90.00 90.00
Fractional coordinates of all 8 atoms:
Cd 0.0000 0.0000 0.0000
Cd 0.5000 0.5000 0.5000
Os 0.0000 0.0000 0.5000
Os 0.0000 0.5000 0.7500
Os 0.5000 0.0000 0.2500
Os 0.5000 0.5000 0.0000
Se 0.0000 0.5000 0.2500
Se 0.5000 0.0000 0.7500

Properties
E above lowest polymorph in meV per atom: 688

No. 16
## CdOs2Se (PBE)

Data for CdOs2Se after structural relaxation.

abc: 2.9076 2.9076 8.3458
angles: 90.00 90.00 90.00
Fractional coordinates of all 4 atoms:
Cd 0.0000 0.0000 0.0000
Os 0.0000 0.0000 0.4468
Os 0.5000 0.5000 0.2479
Se 0.5000 0.5000 0.6622

Properties
E above lowest polymorph in meV per atom: 76

No. 17
## CdOs2Se2 (PBE)

Data for CdOs2Se2 after structural relaxation.

abc: 3.9826 3.9826 16.1188
angles: 90.00 90.00 90.00
Fractional coordinates of all 10 atoms:
Cd 0.0000 0.0000 0.0000
Cd 0.5000 0.5000 0.5000
Os 0.0000 0.5000 0.2500
Os 0.0000 0.5000 0.7500
Os 0.5000 0.0000 0.2500
Os 0.5000 0.0000 0.7500
Se 0.0000 0.0000 0.3392
Se 0.0000 0.0000 0.6608
Se 0.5000 0.5000 0.1608
Se 0.5000 0.5000 0.8392

Properties
Final energy in eV per atom: -5.768

No. 18
## CdOs2Se (PBE)

Data for CdOs2Se after structural relaxation.

abc: 4.5419 4.5419 3.1405
angles: 90.00 90.00 90.00
Fractional coordinates of all 4 atoms:
Cd 0.0000 0.0000 0.0000
Os 0.0000 0.5000 0.5000
Os 0.5000 0.0000 0.5000
Se 0.5000 0.5000 0.0000

Properties
E above lowest polymorph in meV per atom: 695

No. 19
## CdOsSe2 (PBE)

Data for CdOsSe2 after structural relaxation.

abc: 4.0924 4.0924 8.7707
angles: 90.00 90.00 90.00
Fractional coordinates of all 8 atoms:
Cd 0.0000 0.0000 0.0000
Cd 0.5000 0.5000 0.5000
Os 0.0000 0.5000 0.7500
Os 0.5000 0.0000 0.2500
Se 0.0000 0.0000 0.5000
Se 0.0000 0.5000 0.2500
Se 0.5000 0.0000 0.7500
Se 0.5000 0.5000 0.0000

Properties
Final energy in eV per atom: -3.956

No. 20
## CdOsSe2 (PBE)

Data for CdOsSe2 after structural relaxation.

abc: 3.0277 4.2844 12.6486
angles: 90.00 90.00 90.00
Fractional coordinates of all 8 atoms:
Cd 0.0000 0.0000 0.0000
Cd 0.5000 0.5000 0.5000
Os 0.0000 0.5000 0.2894
Os 0.5000 0.0000 0.7894
Se 0.0000 0.0000 0.6338
Se 0.0000 0.5000 0.8377
Se 0.5000 0.0000 0.3377
Se 0.5000 0.5000 0.1338

Properties
Final energy in eV per atom: -4.476

No. 21
## CdOsSe (PBE)

Data for CdOsSe after structural relaxation.

abc: 2.9401 5.1162 15.7770
angles: 90.00 90.00 90.00
Fractional coordinates of all 12 atoms:
Cd 0.0000 0.0000 0.0000
Cd 0.0000 0.5000 0.5000
Cd 0.5000 0.0000 0.5000
Cd 0.5000 0.5000 0.0000
Os 0.0000 0.0000 0.3429
Os 0.0000 0.5000 0.8429
Os 0.5000 0.0000 0.8429
Os 0.5000 0.5000 0.3429
Se 0.0000 0.0000 0.7182
Se 0.0000 0.5000 0.2182
Se 0.5000 0.0000 0.2182
Se 0.5000 0.5000 0.7182

Properties
E above lowest polymorph in meV per atom: 272

No. 22
## Cd4OsSe (PBE)

Data for Cd4OsSe after structural relaxation.

abc: 5.5667 5.5667 5.5667
angles: 60.00 60.00 60.00
Fractional coordinates of all 6 atoms:
Cd 0.1246 0.1246 0.1246
Cd 0.1246 0.1246 0.6263
Cd 0.1246 0.6263 0.1246
Cd 0.6263 0.1246 0.1246
Os 0.7500 0.7500 0.7500
Se 0.5000 0.5000 0.5000

Properties
Final energy in eV per atom: -2.332

No. 23
## CdOs2Se (PBE)

Data for CdOs2Se after structural relaxation.

abc: 2.9408 4.6991 9.8828
angles: 90.00 90.00 90.00
Fractional coordinates of all 8 atoms:
Cd 0.0000 0.0000 0.0000
Cd 0.5000 0.5000 0.5000
Os 0.0000 0.0000 0.5024
Os 0.0000 0.5000 0.7825
Os 0.5000 0.0000 0.2825
Os 0.5000 0.5000 0.0024
Se 0.0000 0.5000 0.2184
Se 0.5000 0.0000 0.7184

Properties
E above lowest polymorph in meV per atom: 446

No. 24
## CdOsSe2 (PBE)

Data for CdOsSe2 after structural relaxation.

abc: 6.6837 6.6837 6.6837
angles: 90.00 90.00 90.00
Fractional coordinates of all 16 atoms:
Cd 0.0000 0.0000 0.0000
Cd 0.0000 0.5000 0.5000
Cd 0.5000 0.0000 0.5000
Cd 0.5000 0.5000 0.0000
Os 0.2500 0.2500 0.2500
Os 0.2500 0.7500 0.7500
Os 0.7500 0.2500 0.7500
Os 0.7500 0.7500 0.2500
Se 0.0000 0.0000 0.5000
Se 0.0000 0.5000 0.0000
Se 0.2500 0.2500 0.7500
Se 0.2500 0.7500 0.2500
Se 0.5000 0.0000 0.0000
Se 0.5000 0.5000 0.5000
Se 0.7500 0.2500 0.2500
Se 0.7500 0.7500 0.7500

Properties
Final energy in eV per atom: -3.798

No. 25
## CdOsSe2 (PBE)

Data for CdOsSe2 after structural relaxation.

abc: 7.6716 7.6409 2.7431
angles: 90.00 90.37 90.00
Fractional coordinates of all 8 atoms:
Cd 0.0000 0.0000 0.0000
Cd 0.5000 0.5000 0.0000
Os 0.0000 0.5000 0.0000
Os 0.5000 0.0000 0.0000
Se 0.2500 0.2500 0.0000
Se 0.2500 0.7500 0.0000
Se 0.7500 0.2500 0.0000
Se 0.7500 0.7500 0.0000

Properties
Final energy in eV per atom: -4.176

No. 26
## CdOsSe2 (PBE)

Data for CdOsSe2 after structural relaxation.

abc: 3.1669 3.1669 28.9846
angles: 90.00 90.00 120.00
Fractional coordinates of all 12 atoms:
Cd 0.0000 0.0000 0.0000
Cd 0.3333 0.6667 0.6667
Cd 0.6667 0.3333 0.3333
Os 0.0000 0.0000 0.7458
Os 0.3333 0.6667 0.4125
Os 0.6667 0.3333 0.0792
Se 0.0000 0.0000 0.2532
Se 0.0000 0.0000 0.4674
Se 0.3333 0.6667 0.1341
Se 0.3333 0.6667 0.9199
Se 0.6667 0.3333 0.5865
Se 0.6667 0.3333 0.8008

Properties
Final energy in eV per atom: -4.570

No. 27
## CdOsSe2 (PBE)

Data for CdOsSe2 after structural relaxation.

abc: 2.9982 2.9982 9.1922
angles: 90.00 90.00 90.00
Fractional coordinates of all 4 atoms:
Cd 0.0000 0.0000 0.0000
Os 0.5000 0.5000 0.2279
Se 0.0000 0.0000 0.3753
Se 0.5000 0.5000 0.7367

Properties
Final energy in eV per atom: -4.590

No. 28
## CdOs4Se (PBE)

Data for CdOs4Se after structural relaxation.

abc: 5.2541 5.2541 5.2541
angles: 60.00 60.00 60.00
Fractional coordinates of all 6 atoms:
Cd 0.0000 0.0000 0.0000
Os 0.3754 0.3754 0.3754
Os 0.3754 0.3754 0.8737
Os 0.3754 0.8737 0.3754
Os 0.8737 0.3754 0.3754
Se 0.7500 0.7500 0.7500

Properties
Final energy in eV per atom: -7.177

No. 29
## CdOsSe2 (PBE)

Data for CdOsSe2 after structural relaxation.

abc: 3.0476 3.0476 9.1540
angles: 90.00 90.00 90.00
Fractional coordinates of all 4 atoms:
Cd 0.0000 0.0000 0.0000
Os 0.0000 0.0000 0.5000
Se 0.5000 0.5000 0.3283
Se 0.5000 0.5000 0.6717

Properties
Final energy in eV per atom: -4.468

No. 30
## CdOsSe2 (PBE)

Data for CdOsSe2 after structural relaxation.

abc: 3.1072 4.7855 11.4626
angles: 90.00 90.00 90.00
Fractional coordinates of all 8 atoms:
Cd 0.0000 0.0000 0.0000
Cd 0.5000 0.5000 0.5000
Os 0.0000 0.0000 0.5000
Os 0.5000 0.5000 0.0000
Se 0.0000 0.5000 0.1726
Se 0.0000 0.5000 0.8274
Se 0.5000 0.0000 0.3274
Se 0.5000 0.0000 0.6726

Properties
Final energy in eV per atom: -4.597